No. 1
Computed, not measured: a relaxed structure of Nb2InGaPt at the GGA-PBE level of DFT.

Unit cell a=5.0857 b=5.0857 c=4.6106 alpha=90.00 beta=90.00 gamma=90.00
With the nearest neighbours (Å) after each atom.
Fractional coordinates of all 5 atoms:
Nb: 0.0000 0.5000 0.0000  2 In 2.54
Nb: 0.5000 0.0000 0.0000  2 In 2.54
In: 0.0000 0.0000 0.0000  2 Ga 2.31, 4 Nb 2.54
Ga: 0.0000 0.0000 0.5000  2 In 2.31
Pt: 0.5000 0.5000 0.5000  8 Nb 3.43, 4 Ga 3.60

Values from the calculation:
The energy of formation from the pure elements is 1.70 eV/atom. Its density of states at the Fermi level is 7.0 states/eV/f.u. The value obtained for the volume is 119.3 Å³ per cell. As for the total magnetization: 0.91 μB per cell. As for the symmetry: P4/mmm.

No. 2
Computed, not measured: a relaxed structure of NbInGaRh2 at the GGA-PBE level of DFT.

Unit cell a=4.7755 b=4.7755 c=4.7498 alpha=90.00 beta=90.00 gamma=90.00
With the nearest neighbours (Å) after each atom.
Fractional coordinates of all 5 atoms:
Nb: 0.0000 0.0000 0.0000  8 Rh 3.37, 4 Ga 3.38
In: 0.5000 0.5000 0.5000  2 Ga 2.37, 4 Rh 2.39
Ga: 0.5000 0.5000 0.0000  2 In 2.37
Rh: 0.0000 0.5000 0.5000  2 In 2.39
Rh: 0.5000 0.0000 0.5000  2 In 2.39

Values from the calculation:
The energy of formation from the pure elements is 1.32 eV/atom. Its density of states at the Fermi level is 6.5 states/eV/f.u. The value obtained for the volume is 108.3 Å³ per cell. As for the total magnetization: 0.00 μB per cell. As for the symmetry: P4/mmm.

No. 3
Computed, not measured: a relaxed structure of NbIn2GaRh at the GGA-PBE level of DFT.

Unit cell a=5.2971 b=5.2971 c=4.9350 alpha=90.00 beta=90.00 gamma=90.00
With the nearest neighbours (Å) after each atom.
Fractional coordinates of all 5 atoms:
Nb: 0.0000 0.0000 0.0000  2 Ga 2.47, 4 In 2.65
In: 0.0000 0.5000 0.0000  2 Nb 2.65
In: 0.5000 0.0000 0.0000  2 Nb 2.65
Ga: 0.0000 0.0000 0.5000  2 Nb 2.47
Rh: 0.5000 0.5000 0.5000  8 In 3.62, 4 Ga 3.75

Values from the calculation:
The energy of formation from the pure elements is 1.09 eV/atom. Its density of states at the Fermi level is 5.8 states/eV/f.u. The value obtained for the volume is 138.5 Å³ per cell. As for the total magnetization: 1.16 μB per cell. As for the symmetry: P4/mmm.

No. 4
Computed, not measured: a relaxed structure of Nd6InGa at the GGA-PBE level of DFT.

Unit cell a=4.9282 b=4.9282 c=9.8406 alpha=90.00 beta=90.00 gamma=90.00
With the nearest neighbours (Å) after each atom.
Fractional coordinates of all 8 atoms:
Nd: 0.0000 0.0000 0.0000  8 Nd 3.43, 4 Ga 3.48
Nd: 0.0000 0.0000 0.5000  4 In 3.48, 8 Nd 3.53
Nd: 0.0000 0.5000 0.2430  8 Nd 3.43-3.53, 2 Ga 3.43, 2 In 3.53
Nd: 0.0000 0.5000 0.7570  8 Nd 3.43-3.53, 2 Ga 3.43, 2 In 3.53
Nd: 0.5000 0.0000 0.2430  8 Nd 3.43-3.53, 2 Ga 3.43, 2 In 3.53
Nd: 0.5000 0.0000 0.7570  8 Nd 3.43-3.53, 2 Ga 3.43, 2 In 3.53
In: 0.5000 0.5000 0.5000  12 Nd 3.48-3.53
Ga: 0.5000 0.5000 0.0000  12 Nd 3.43-3.48

Values from the calculation:
The energy of formation from the pure elements is -0.25 eV/atom. Its density of states at the Fermi level is 13.4 states/eV/f.u. The value obtained for the volume is 239.0 Å³ per cell. As for the total magnetization: 0.00 μB per cell. As for the symmetry: P4/mmm.

No. 5
Computed, not measured: a relaxed structure of NdIn6Ga at the GGA-PBE level of DFT.

Unit cell a=6.8934 b=6.8934 c=4.3411 alpha=90.00 beta=90.00 gamma=90.00
With the nearest neighbours (Å) after each atom.
Fractional coordinates of all 8 atoms:
Nd: 0.0000 0.0000 0.0000  12 In 3.37-3.45
In: 0.0000 0.5000 0.0000  8 In 3.27, 2 Ga 3.45, 2 Nd 3.45
In: 0.2648 0.2648 0.5000  2 Ga 3.16, 6 In 3.24-3.27, 2 Nd 3.37
In: 0.2648 0.7352 0.5000  2 Ga 3.16, 6 In 3.24-3.27, 2 Nd 3.37
In: 0.5000 0.0000 0.0000  8 In 3.27, 2 Ga 3.45, 2 Nd 3.45
In: 0.7352 0.2648 0.5000  2 Ga 3.16, 6 In 3.24-3.27, 2 Nd 3.37
In: 0.7352 0.7352 0.5000  2 Ga 3.16, 6 In 3.24-3.27, 2 Nd 3.37
Ga: 0.5000 0.5000 0.0000  12 In 3.16-3.45

Values from the calculation:
The energy of formation from the pure elements is -0.18 eV/atom. Its density of states at the Fermi level is 2.4 states/eV/f.u. The value obtained for the volume is 206.3 Å³ per cell. As for the total magnetization: 0.00 μB per cell. As for the symmetry: P4/mmm.

No. 6
Computed, not measured: a relaxed structure of Nd4InGa at the GGA-PBE level of DFT.

Unit cell a=5.8310 b=3.8863 c=8.5374 alpha=90.00 beta=90.08 gamma=90.00
With the nearest neighbours (Å) after each atom.
Fractional coordinates of all 6 atoms:
Nd: 0.0006 0.0000 0.2245  2 Ga 3.05
Nd: 0.4993 0.5000 0.7016  2 In 3.20, 2 Ga 3.38-3.39, 5 Nd 3.44-3.56
Nd: 0.5007 0.5000 0.2984  2 In 3.20, 2 Ga 3.38-3.39, 5 Nd 3.44-3.56
Nd: 0.9994 0.0000 0.7755  2 Ga 3.05
In: 0.5000 0.0000 0.0000  8 Nd 3.20-3.49
Ga: 0.0000 0.5000 0.5000  8 Nd 3.05-3.39

Values from the calculation:
The energy of formation from the pure elements is -0.13 eV/atom. Its density of states at the Fermi level is 6.8 states/eV/f.u. The value obtained for the volume is 193.5 Å³ per cell. As for the total magnetization: 0.00 μB per cell. For the offset from the most stable computed form, the calculation gives 43.1 meV/atom. As for the symmetry: P2/m.

No. 7
Computed, not measured: a relaxed structure of Nd2InGa at the GGA-PBE level of DFT.

Unit cell a=3.7642 b=3.7642 c=7.6880 alpha=90.00 beta=90.00 gamma=90.00
With the nearest neighbours (Å) after each atom.
Fractional coordinates of all 4 atoms:
Nd: 0.0000 0.0000 0.2363  4 Ga 3.22, 4 In 3.35
Nd: 0.0000 0.0000 0.7637  4 Ga 3.22, 4 In 3.35
In: 0.5000 0.5000 0.5000  8 Nd 3.35
Ga: 0.5000 0.5000 0.0000  8 Nd 3.22

Values from the calculation:
The energy of formation from the pure elements is -0.52 eV/atom. Its density of states at the Fermi level is 2.4 states/eV/f.u. The value obtained for the volume is 108.9 Å³ per cell. As for the total magnetization: 0.00 μB per cell. For the offset from the most stable computed form, the calculation gives 0.0 meV/atom. As for the symmetry: P4/mmm.

No. 8
Computed, not measured: a relaxed structure of Nd9In2Ga at the GGA-PBE level of DFT.

Unit cell a=4.9506 b=4.9506 c=14.8257 alpha=90.00 beta=90.00 gamma=90.00
With the nearest neighbours (Å) after each atom.
Fractional coordinates of all 12 atoms:
Nd: 0.0000 0.0000 0.0000  8 Nd 3.43, 4 Ga 3.50
Nd: 0.0000 0.0000 0.3296  4 In 3.50, 8 Nd 3.52-3.54
Nd: 0.0000 0.0000 0.6704  4 In 3.50, 8 Nd 3.52-3.54
Nd: 0.0000 0.5000 0.1606  8 Nd 3.43-3.52, 2 Ga 3.43, 2 In 3.54
Nd: 0.0000 0.5000 0.5000  8 Nd 3.50-3.54, 4 In 3.52
Nd: 0.0000 0.5000 0.8394  8 Nd 3.43-3.52, 2 Ga 3.43, 2 In 3.54
Nd: 0.5000 0.0000 0.1606  8 Nd 3.43-3.52, 2 Ga 3.43, 2 In 3.54
Nd: 0.5000 0.0000 0.5000  8 Nd 3.50-3.54, 4 In 3.52
Nd: 0.5000 0.0000 0.8394  8 Nd 3.43-3.52, 2 Ga 3.43, 2 In 3.54
In: 0.5000 0.5000 0.3311  12 Nd 3.50-3.54
In: 0.5000 0.5000 0.6689  12 Nd 3.50-3.54
Ga: 0.5000 0.5000 0.0000  12 Nd 3.43-3.50

Values from the calculation:
The energy of formation from the pure elements is -0.26 eV/atom. Its density of states at the Fermi level is 21.1 states/eV/f.u. The value obtained for the volume is 363.4 Å³ per cell. As for the total magnetization: 0.00 μB per cell. As for the symmetry: P4/mmm.

No. 9
Computed, not measured: a relaxed structure of Nd3InGa at the GGA-PBE level of DFT.

Unit cell a=9.7185 b=9.1834 c=5.9855 alpha=76.47 beta=66.74 gamma=36.78
With the nearest neighbours (Å) after each atom.
Fractional coordinates of all 10 atoms:
Nd: 0.1908 0.1908 0.8092  4 Ga 3.16, 2 Nd 3.31, 2 In 3.52
Nd: 0.2057 0.5931 0.4069  2 Ga 3.14, 2 Nd 3.31-3.40, 2 In 3.33
Nd: 0.4069 0.7943 0.2057  2 Ga 3.14, 2 Nd 3.31-3.40, 2 In 3.33
Nd: 0.5931 0.2057 0.7943  2 Ga 3.14, 2 Nd 3.31-3.40, 2 In 3.33
Nd: 0.7943 0.4069 0.5931  2 Ga 3.14, 2 Nd 3.31-3.40, 2 In 3.33
Nd: 0.8092 0.8092 0.1908  4 Ga 3.16, 2 Nd 3.31, 2 In 3.52
In: 0.1969 0.8031 0.8031  1 In 2.82
In: 0.8031 0.1969 0.1969  1 In 2.82
Ga: 0.2500 0.2500 0.2500  8 Nd 3.14-3.16
Ga: 0.7500 0.7500 0.7500  8 Nd 3.14-3.16

Values from the calculation:
The energy of formation from the pure elements is -0.40 eV/atom. Its density of states at the Fermi level is 5.1 states/eV/f.u. The value obtained for the volume is 290.6 Å³ per cell. As for the total magnetization: 0.00 μB per cell. For the offset from the most stable computed form, the calculation gives 0.0 meV/atom. As for the symmetry: Fmmm.

No. 10
Computed, not measured: a relaxed structure of Nd4InGa at the GGA-PBE level of DFT.

Unit cell a=5.1929 b=5.1929 c=7.4863 alpha=90.00 beta=90.00 gamma=90.00
With the nearest neighbours (Å) after each atom.
Fractional coordinates of all 6 atoms:
Nd: 0.0000 0.5000 0.2365  2 Ga 3.14, 2 In 3.26
Nd: 0.0000 0.5000 0.7635  2 Ga 3.14, 2 In 3.26
Nd: 0.5000 0.0000 0.2365  2 Ga 3.14, 2 In 3.26
Nd: 0.5000 0.0000 0.7635  2 Ga 3.14, 2 In 3.26
In: 0.0000 0.0000 0.5000  8 Nd 3.26
Ga: 0.5000 0.5000 0.0000  8 Nd 3.14

Values from the calculation:
The energy of formation from the pure elements is -0.17 eV/atom. Its density of states at the Fermi level is 9.5 states/eV/f.u. The value obtained for the volume is 201.9 Å³ per cell. As for the total magnetization: 0.01 μB per cell. For the offset from the most stable computed form, the calculation gives 0.0 meV/atom. As for the symmetry: P4/mmm.

No. 11
Computed, not measured: a relaxed structure of Nd2In4Ga at the GGA-PBE level of DFT.

Unit cell a=6.3274 b=6.3274 c=6.5917 alpha=118.58 beta=118.58 gamma=90.06
With the nearest neighbours (Å) after each atom.
Fractional coordinates of all 7 atoms:
Nd: 0.0000 0.5000 0.0000  2 Ga 3.16, 8 In 3.30
Nd: 0.5000 0.0000 0.0000  2 Ga 3.16, 8 In 3.30
In: 0.0000 0.0000 0.5000  4 In 3.16, 2 Ga 3.30, 4 Nd 3.30
In: 0.0000 0.5000 0.5000  4 In 3.16, 4 Nd 3.30, 2 Ga 3.30
In: 0.5000 0.0000 0.5000  4 In 3.16, 4 Nd 3.30, 2 Ga 3.30
In: 0.5000 0.5000 0.5000  4 In 3.16, 4 Nd 3.30, 2 Ga 3.30
Ga: 0.0000 0.0000 0.0000  4 Nd 3.16, 8 In 3.30

Values from the calculation:
The energy of formation from the pure elements is -0.36 eV/atom. Its density of states at the Fermi level is 4.1 states/eV/f.u. The value obtained for the volume is 194.2 Å³ per cell. As for the total magnetization: 0.00 μB per cell. As for the symmetry: C2/m.

No. 12
Computed, not measured: a relaxed structure of Nd2InGa2 at the GGA-PBE level of DFT.

Unit cell a=7.4234 b=7.4234 c=4.5755 alpha=90.00 beta=90.00 gamma=90.00
With the nearest neighbours (Å) after each atom.
Fractional coordinates of all 10 atoms:
Nd: 0.1739 0.3261 0.0000  6 Ga 3.12-3.20
Nd: 0.3261 0.8261 0.0000  6 Ga 3.12-3.20
Nd: 0.6739 0.1739 0.0000  6 Ga 3.12-3.20
Nd: 0.8261 0.6739 0.0000  6 Ga 3.12-3.20
In: 0.0000 0.0000 0.5000  4 Ga 2.94
In: 0.5000 0.5000 0.5000  4 Ga 2.94
Ga: 0.1238 0.6238 0.5000  1 Ga 2.60
Ga: 0.3762 0.1238 0.5000  1 Ga 2.60
Ga: 0.6238 0.8762 0.5000  1 Ga 2.60
Ga: 0.8762 0.3762 0.5000  1 Ga 2.60

Values from the calculation:
The energy of formation from the pure elements is -0.62 eV/atom. Its density of states at the Fermi level is 3.4 states/eV/f.u. The value obtained for the volume is 252.1 Å³ per cell. As for the total magnetization: 0.00 μB per cell. For the offset from the most stable computed form, the calculation gives 0.0 meV/atom. As for the symmetry: P4/mbm.

Which of these has the highest energy of formation from the pure elements?
Nb2InGaPt

Among the records above, which one has the highest total magnetization?
NbIn2GaRh

Number 6 is which compound?
Nd4InGa